Zr2MnOs | PBE-GGA | optimized geometry

Output
calculated formation energy	0.03	eV per atom
volume	16.61	A^3/atom
DOS at the Fermi energy	13.782	states/eV/cell
raw total energy	-9.342	eV per atom
spin magnetization	0.237	μB/f.u.

Geometry as CIF:
```
data_Zr2MnOs
_cell_length_a 6.4289
_cell_length_b 6.4289
_cell_length_c 6.4289
_cell_angle_alpha 90.00
_cell_angle_beta 90.00
_cell_angle_gamma 90.00
_space_group_name_H-M_alt 'F -4 3 m'
_space_group_IT_number 216
_space_group_name_Hall 'F -4 2 3'
loop_
_atom_site_label
_atom_site_type_symbol
_atom_site_fract_x
_atom_site_fract_y
_atom_site_fract_z
Zr1 Zr 0.0000 0.0000 0.0000
Zr2 Zr 0.2500 0.2500 0.2500
Mn1 Mn 0.2500 0.2500 0.7500
Os1 Os 0.0000 0.0000 0.5000
```

***

Zr2MnOs | PBE-GGA | optimized geometry

Output
calculated formation energy	0.33	eV per atom
volume	19.18	A^3/atom
DOS at the Fermi energy	22.576	states/eV/cell
raw total energy	-9.043	eV per atom
spin magnetization	2.505	μB/f.u.

Geometry as CIF:
```
data_Zr2MnOs
_cell_length_a 7.3100
_cell_length_b 7.3100
_cell_length_c 5.7442
_cell_angle_alpha 90.00
_cell_angle_beta 90.00
_cell_angle_gamma 90.00
_space_group_name_H-M_alt 'I -4 2 d'
_space_group_IT_number 122
_space_group_name_Hall 'I -4 2bw'
loop_
_atom_site_label
_atom_site_type_symbol
_atom_site_fract_x
_atom_site_fract_y
_atom_site_fract_z
Zr1 Zr 0.2371 0.2500 0.1250
Mn1 Mn 0.0000 0.0000 0.5000
Os1 Os 0.0000 0.0000 0.0000
```

***

ZrMn2Os2 | PBE-GGA | optimized geometry

Output
calculated formation energy	0.04	eV per atom
volume	14.59	A^3/atom
DOS at the Fermi energy	11.431	states/eV/cell
raw total energy	-9.829	eV per atom
spin magnetization	0.905	μB/f.u.

Geometry as CIF:
```
data_ZrMn2Os2
_cell_length_a 7.3758
_cell_length_b 7.3758
_cell_length_c 2.6815
_cell_angle_alpha 90.00
_cell_angle_beta 90.00
_cell_angle_gamma 90.00
_space_group_name_H-M_alt 'P 4/m b m'
_space_group_IT_number 127
_space_group_name_Hall '-P 4 2ab'
loop_
_atom_site_label
_atom_site_type_symbol
_atom_site_fract_x
_atom_site_fract_y
_atom_site_fract_z
Zr1 Zr 0.0000 0.0000 0.0000
Mn1 Mn 0.1689 0.3311 0.5000
Os1 Os 0.1261 0.6261 0.0000
```

***

ZrMnOs | PBE-GGA | optimized geometry

Output
calculated formation energy	0.31	eV per atom
volume	20.08	A^3/atom
DOS at the Fermi energy	13.940	states/eV/cell
raw total energy	-9.337	eV per atom
spin magnetization	4.419	μB/f.u.

Geometry as CIF:
```
data_ZrMnOs
_cell_length_a 6.2224
_cell_length_b 6.2224
_cell_length_c 6.2224
_cell_angle_alpha 90.00
_cell_angle_beta 90.00
_cell_angle_gamma 90.00
_space_group_name_H-M_alt 'F -4 3 m'
_space_group_IT_number 216
_space_group_name_Hall 'F -4 2 3'
loop_
_atom_site_label
_atom_site_type_symbol
_atom_site_fract_x
_atom_site_fract_y
_atom_site_fract_z
Zr1 Zr 0.0000 0.0000 0.0000
Mn1 Mn 0.0000 0.0000 0.5000
Os1 Os 0.2500 0.2500 0.2500
```

***

ZrMnOs2 | PBE-GGA | optimized geometry

Output
calculated formation energy	0.06	eV per atom
volume	15.31	A^3/atom
DOS at the Fermi energy	8.320	states/eV/cell
raw total energy	-9.982	eV per atom
spin magnetization	1.312	μB/f.u.

Geometry as CIF:
```
data_ZrMnOs2
_cell_length_a 2.8624
_cell_length_b 4.5206
_cell_length_c 9.4629
_cell_angle_alpha 90.00
_cell_angle_beta 90.00
_cell_angle_gamma 90.00
_space_group_name_H-M_alt 'I m m m'
_space_group_IT_number 71
_space_group_name_Hall '-I 2 2'
loop_
_atom_site_label
_atom_site_type_symbol
_atom_site_fract_x
_atom_site_fract_y
_atom_site_fract_z
Zr1 Zr 0.0000 0.0000 0.0000
Mn1 Mn 0.0000 0.0000 0.5000
Os1 Os 0.0000 0.5000 0.2198
```

***

ZrMnOs2 | PBE-GGA | optimized geometry

Output
calculated formation energy	0.21	eV per atom
volume	15.27	A^3/atom
DOS at the Fermi energy	14.060	states/eV/cell
raw total energy	-9.830	eV per atom
spin magnetization	1.490	μB/f.u.

Geometry as CIF:
```
data_ZrMnOs2
_cell_length_a 2.7639
_cell_length_b 2.7639
_cell_length_c 27.7056
_cell_angle_alpha 90.00
_cell_angle_beta 90.00
_cell_angle_gamma 120.00
_space_group_name_H-M_alt 'R -3 m'
_space_group_IT_number 166
_space_group_name_Hall '-R 3 2"'
loop_
_atom_site_label
_atom_site_type_symbol
_atom_site_fract_x
_atom_site_fract_y
_atom_site_fract_z
Zr1 Zr 0.0000 0.0000 0.0000
Mn1 Mn 0.0000 0.0000 0.5000
Os1 Os 0.0000 0.0000 0.2399
```

***

Zr4MnOs3 | PBE-GGA | optimized geometry

Output
calculated formation energy	-0.41	eV per atom
volume	17.42	A^3/atom
DOS at the Fermi energy	2.454	states/eV/cell
raw total energy	-10.046	eV per atom
spin magnetization	0.267	μB/f.u.

Geometry as CIF:
```
data_Zr4MnOs3
_cell_length_a 3.2628
_cell_length_b 3.2628
_cell_length_c 13.0923
_cell_angle_alpha 90.00
_cell_angle_beta 90.00
_cell_angle_gamma 90.00
_space_group_name_H-M_alt 'P 4/m m m'
_space_group_IT_number 123
_space_group_name_Hall '-P 4 2'
loop_
_atom_site_label
_atom_site_type_symbol
_atom_site_fract_x
_atom_site_fract_y
_atom_site_fract_z
Zr1 Zr 0.0000 0.0000 0.1198
Zr2 Zr 0.0000 0.0000 0.3730
Mn1 Mn 0.5000 0.5000 0.0000
Os1 Os 0.5000 0.5000 0.2480
Os2 Os 0.5000 0.5000 0.5000
```

***

ZrMnOs | PBE-GGA | optimized geometry

Output
calculated formation energy	0.27	eV per atom
volume	16.31	A^3/atom
DOS at the Fermi energy	3.207	states/eV/cell
raw total energy	-9.375	eV per atom
spin magnetization	2.579	μB/f.u.

Geometry as CIF:
```
data_ZrMnOs
_cell_length_a 2.8675
_cell_length_b 2.8675
_cell_length_c 6.8714
_cell_angle_alpha 90.00
_cell_angle_beta 90.00
_cell_angle_gamma 120.00
_space_group_name_H-M_alt 'P 3 m 1'
_space_group_IT_number 156
loop_
_space_group_symop_operation_xyz
'x,y,z'
'-y,x-y,z'
'-x+y,-x,z'
'-y,-x,z'
'-x+y,y,z'
'x,x-y,z'
loop_
_atom_site_label
_atom_site_type_symbol
_atom_site_fract_x
_atom_site_fract_y
_atom_site_fract_z
Zr1 Zr 0.0000 0.0000 0.0000
Mn1 Mn 0.6667 0.3333 0.3530
Os1 Os 0.3333 0.6667 0.6352
```

***

Number 4 is which compound? ZrMnOs